Zr8Sn2Pd: relaxed, PBE.

Geometry as POSCAR:
```
Zr8Sn2Pd
1.0
4.7407 0.0000 0.0000
0.0000 5.9309 -0.1143
-2.3704 -2.5768 9.0227
Zr Sn Pd
8 2 1
Direct
0.4111 0.5024 0.8221 Zr
0.6484 0.0367 0.2969 Zr
0.7699 0.6638 0.5397 Zr
0.9755 0.2343 0.9509 Zr
0.2301 0.3362 0.4603 Zr
0.3516 0.9633 0.7031 Zr
0.5889 0.4976 0.1779 Zr
0.0245 0.7657 0.0491 Zr
0.8180 0.2291 0.6359 Sn
0.1820 0.7709 0.3641 Sn
0.5000 0.0000 0.0000 Pd
```

* ΔE_f: -240.0 meV per atom
* density of states at the Fermi level: 12.43 states/eV/cell
* space group: No. 12

***

Zr3SnPd: relaxed, PBE.

Geometry as POSCAR:
```
Zr3SnPd
1.0
5.0557 0.0000 0.0000
0.0000 5.0557 0.0000
0.0000 0.0000 5.0557
Zr Sn Pd
3 1 1
Direct
0.0000 0.5000 0.0000 Zr
0.0000 0.0000 0.5000 Zr
0.5000 0.0000 0.0000 Zr
0.5000 0.5000 0.5000 Sn
0.0000 0.0000 0.0000 Pd
```

* ΔE_f: 147.7 meV per atom
* density of states at the Fermi level: 3.36 states/eV/cell
* relative energy among the computed polymorphs: 0 meV per atom
* space group: No. 221

***

ZrSnPd5: relaxed, PBE.

Geometry as POSCAR:
```
ZrSnPd5
1.0
4.0861 0.0000 0.0000
0.0000 4.0861 0.0000
0.0000 0.0000 7.4697
Zr Sn Pd
1 1 5
Direct
0.0000 0.0000 0.5000 Zr
0.5000 0.5000 0.0000 Sn
0.0000 0.5000 0.7624 Pd
0.0000 0.5000 0.2376 Pd
0.5000 0.0000 0.7624 Pd
0.5000 0.0000 0.2376 Pd
0.5000 0.5000 0.5000 Pd
```

* ΔE_f: -654.8 meV per atom
* density of states at the Fermi level: 2.01 states/eV/cell
* relative energy among the computed polymorphs: 0 meV per atom
* space group: No. 123

***

ZrSn2Pd2: relaxed, PBE.

Geometry as POSCAR:
```
ZrSn2Pd2
1.0
7.7787 0.0000 0.0000
0.0000 7.7787 0.0000
0.0000 0.0000 3.2592
Zr Sn Pd
2 4 4
Direct
0.0000 0.0000 0.0000 Zr
0.5000 0.5000 0.0000 Zr
0.1718 0.6718 0.5000 Sn
0.6718 0.8282 0.5000 Sn
0.8282 0.3282 0.5000 Sn
0.3282 0.1718 0.5000 Sn
0.3739 0.8739 0.0000 Pd
0.8739 0.6261 0.0000 Pd
0.6261 0.1261 0.0000 Pd
0.1261 0.3739 0.0000 Pd
```

* ΔE_f: -430.5 meV per atom
* density of states at the Fermi level: 6.23 states/eV/cell
* space group: No. 127

***

ZrSnPd5: relaxed, PBE.

Geometry as POSCAR:
```
ZrSnPd5
1.0
-2.3597 -2.8903 3.4381
4.5656 0.0015 2.2130
-1.2179 6.2195 7.7957
Zr Sn Pd
2 2 10
Direct
0.5397 0.4603 0.2500 Zr
0.4603 0.5397 0.7500 Zr
0.0000 0.0000 0.0000 Sn
0.0000 0.0000 0.5000 Sn
0.4609 0.7643 0.4543 Pd
0.9874 0.4298 0.6496 Pd
0.7643 0.4609 0.9543 Pd
0.8976 0.1024 0.2500 Pd
0.5702 0.0126 0.8504 Pd
0.4298 0.9874 0.1496 Pd
0.1024 0.8976 0.7500 Pd
0.2357 0.5391 0.0457 Pd
0.0126 0.5702 0.3504 Pd
0.5391 0.2357 0.5457 Pd
```

* ΔE_f: -544.3 meV per atom
* density of states at the Fermi level: 7.23 states/eV/cell
* relative energy among the computed polymorphs: 111 meV per atom
* space group: No. 15

***

Zr2Sn2Pd: relaxed, PBE.

Geometry as POSCAR:
```
Zr2Sn2Pd
1.0
-2.3074 -3.2452 -0.1649
0.2630 0.0151 -3.9766
4.9751 -5.8986 -1.6903
Zr Sn Pd
2 2 1
Direct
0.7500 0.2500 0.5000 Zr
0.2500 0.7500 0.5000 Zr
0.4085 0.4085 0.1830 Sn
0.5915 0.5915 0.8170 Sn
0.0000 0.0000 0.0000 Pd
```

* ΔE_f: 209.8 meV per atom
* density of states at the Fermi level: 4.17 states/eV/cell
* relative energy among the computed polymorphs: 686 meV per atom
* space group: No. 139

***

ZrSn2Pd8: relaxed, PBE.

Geometry as POSCAR:
```
ZrSn2Pd8
1.0
4.1162 0.0000 0.0000
0.0000 6.5781 0.1353
-2.0581 -2.6542 6.8038
Zr Sn Pd
1 2 8
Direct
0.5000 0.0000 0.0000 Zr
0.7900 0.3381 0.5800 Sn
0.2100 0.6619 0.4200 Sn
0.4048 0.5466 0.8095 Pd
0.6763 0.9215 0.3527 Pd
0.8547 0.7979 0.7094 Pd
0.9633 0.2665 0.9266 Pd
0.1453 0.2021 0.2906 Pd
0.3237 0.0785 0.6473 Pd
0.5952 0.4534 0.1905 Pd
0.0367 0.7335 0.0734 Pd
```

* ΔE_f: -560.2 meV per atom
* density of states at the Fermi level: 6.42 states/eV/cell
* space group: No. 12

***

ZrSnPd6: relaxed, PBE.

Geometry as POSCAR:
```
ZrSnPd6
1.0
7.0145 -0.3510 0.2779
3.1886 6.2359 0.2650
3.5015 2.0174 3.2389
Zr Sn Pd
1 1 6
Direct
0.0000 0.0000 0.0000 Zr
0.5000 0.5000 0.5000 Sn
0.9575 0.5444 0.7488 Pd
0.7495 0.0423 0.6627 Pd
0.5460 0.2508 0.1599 Pd
0.2505 0.9577 0.3373 Pd
0.0425 0.4556 0.2512 Pd
0.4540 0.7492 0.8401 Pd
```

* ΔE_f: -499.3 meV per atom
* density of states at the Fermi level: 3.85 states/eV/cell
* relative energy among the computed polymorphs: 163 meV per atom
* space group: No. 2

***

Zr2Sn2Pd: relaxed, PBE.

Geometry as POSCAR:
```
Zr2Sn2Pd
1.0
-4.4448 -4.3029 -3.2665
5.0826 -1.8971 -4.4170
1.1554 -3.2684 2.7333
Zr Sn Pd
4 4 2
Direct
0.1654 0.6654 0.5000 Zr
0.6654 0.8346 0.5000 Zr
0.8346 0.3346 0.5000 Zr
0.3346 0.1654 0.5000 Zr
0.3571 0.8571 0.0000 Sn
0.8571 0.6429 0.0000 Sn
0.6429 0.1429 0.0000 Sn
0.1429 0.3571 0.0000 Sn
0.0000 0.0000 0.0000 Pd
0.5000 0.5000 0.0000 Pd
```

* ΔE_f: -475.8 meV per atom
* density of states at the Fermi level: 8.30 states/eV/cell
* relative energy among the computed polymorphs: 0 meV per atom
* space group: No. 127

***

ZrSnPd6: relaxed, PBE.

Geometry as POSCAR:
```
ZrSnPd6
1.0
4.0433 0.0000 0.0000
0.0000 4.0433 0.0000
0.0000 0.0000 8.0531
Zr Sn Pd
1 1 6
Direct
0.0000 0.0000 0.5000 Zr
0.0000 0.0000 0.0000 Sn
0.5000 0.5000 0.0000 Pd
0.5000 0.5000 0.5000 Pd
0.5000 0.0000 0.2529 Pd
0.5000 0.0000 0.7471 Pd
0.0000 0.5000 0.2529 Pd
0.0000 0.5000 0.7471 Pd
```

* ΔE_f: -662.0 meV per atom
* density of states at the Fermi level: 2.07 states/eV/cell
* relative energy among the computed polymorphs: 0 meV per atom
* space group: No. 123

***

ZrSnPd14: relaxed, PBE.

Geometry as POSCAR:
```
ZrSnPd14
1.0
5.7113 -0.0119 0.0000
0.0124 5.7113 0.0000
0.0000 0.0000 7.8236
Zr Sn Pd
1 1 14
Direct
0.8750 0.8750 0.5000 Zr
0.3750 0.3750 0.5000 Sn
0.8750 0.8750 0.0000 Pd
0.3750 0.3750 0.0000 Pd
0.8750 0.3750 0.5000 Pd
0.8750 0.3750 0.0000 Pd
0.3750 0.8750 0.5000 Pd
0.3750 0.8750 0.0000 Pd
0.6260 0.1240 0.2497 Pd
0.6260 0.1240 0.7503 Pd
0.1240 0.6260 0.2497 Pd
0.1240 0.6260 0.7503 Pd
0.6260 0.6260 0.2497 Pd
0.6260 0.6260 0.7503 Pd
0.1240 0.1240 0.2497 Pd
0.1240 0.1240 0.7503 Pd
```

* ΔE_f: -326.0 meV per atom
* density of states at the Fermi level: 22.46 states/eV/cell
* space group: No. 123

***

ZrSn3Pd: relaxed, PBE.

Geometry as POSCAR:
```
ZrSn3Pd
1.0
-3.3102 -1.3017 -3.7078
-1.4309 -4.1158 2.7224
-3.6598 2.7866 2.2892
Zr Sn Pd
1 3 1
Direct
0.5000 0.5000 0.5000 Zr
0.0000 0.5000 0.0000 Sn
0.0000 0.0000 0.5000 Sn
0.5000 0.0000 0.0000 Sn
0.0000 0.0000 0.0000 Pd
```

* ΔE_f: 351.3 meV per atom
* density of states at the Fermi level: 6.79 states/eV/cell
* relative energy among the computed polymorphs: 0 meV per atom
* space group: No. 221